--- one ---
Computed, not measured: CaZrP2 after structural relaxation at the PBE level of DFT.

Cell lengths 6.9801, 6.9801, 6.9801 Å; angles 32.06, 32.06, 32.06 degrees
Closest atoms and distances in Å follow each position.
Fractional coordinates of all 4 atoms:
Ca 0.0000 0.0000 0.0000  6 P 2.87
Zr 0.5000 0.5000 0.5000  6 P 2.68
P 0.2417 0.2417 0.2417  3 Zr 2.68, 3 Ca 2.87
P 0.7583 0.7583 0.7583  3 Zr 2.68, 3 Ca 2.87

Total magnetic moment   0.000 Bohr magnetons per cell
D(E_F)   0.16 states/eV/atom
SG   R-3m (166)

=====

--- two ---
Computed, not measured: CaZrP2 after structural relaxation at the PBE level of DFT.

Cell lengths 5.8962, 5.8962, 5.8962 Å; angles 141.60, 141.60, 55.44 degrees
Closest atoms and distances in Å follow each position.
Fractional coordinates of all 4 atoms:
Ca 0.0000 0.0000 0.0000  4 P 2.74
Zr 0.7500 0.2500 0.5000  4 P 2.74
P 0.2500 0.7500 0.5000  4 Zr 2.74
P 0.5000 0.5000 0.0000  4 Ca 2.74

Total magnetic moment   0.000 Bohr magnetons per cell
D(E_F)   0.34 states/eV/atom
SG   I-4m2 (119)

=====

What should be chosen as the most stable of them? Choose one.

=====

--- one ---
Computed, not measured: CaZrP3 after structural relaxation at the PBE level of DFT.

Cell lengths 5.0193, 5.0193, 5.0193 Å; angles 90.00, 90.00, 90.00 degrees
Closest atoms and distances in Å follow each position.
Fractional coordinates of all 5 atoms:
Ca 0.0000 0.0000 0.0000  12 P 3.55
Zr 0.5000 0.5000 0.5000  6 P 2.51
P 0.0000 0.5000 0.5000  2 Zr 2.51
P 0.5000 0.0000 0.5000  2 Zr 2.51
P 0.5000 0.5000 0.0000  2 Zr 2.51

Total magnetic moment   0.000 Bohr magnetons per cell
D(E_F)   0.58 states/eV/atom
SG   Pm-3m (221)

=====

--- two ---
Computed, not measured: CaZrP3 after structural relaxation at the PBE level of DFT.

Cell lengths 4.9218, 4.9218, 4.9218 Å; angles 90.00, 90.00, 90.00 degrees
Closest atoms and distances in Å follow each position.
Fractional coordinates of all 5 atoms:
Ca 0.0000 0.0000 0.0000  6 P 2.46
Zr 0.5000 0.5000 0.5000  12 P 3.48
P 0.0000 0.0000 0.5000  2 Ca 2.46
P 0.0000 0.5000 0.0000  2 Ca 2.46
P 0.5000 0.0000 0.0000  2 Ca 2.46

Total magnetic moment   0.000 Bohr magnetons per cell
D(E_F)   1.11 states/eV/atom
SG   Pm-3m (221)

=====

What should be chosen as the most stable of them? Choose one.

=====

--- one ---
Computed, not measured: Ca3ZrP after structural relaxation at the PBE level of DFT.

Cell lengths 5.5132, 5.5132, 5.5132 Å; angles 90.00, 90.00, 90.00 degrees
Closest atoms and distances in Å follow each position.
Fractional coordinates of all 5 atoms:
Ca 0.0000 0.0000 0.5000  2 P 2.76
Ca 0.0000 0.5000 0.0000  2 P 2.76
Ca 0.5000 0.0000 0.0000  2 P 2.76
Zr 0.5000 0.5000 0.5000  12 Ca 3.90
P 0.0000 0.0000 0.0000  6 Ca 2.76

Total magnetic moment   4.726 Bohr magnetons per cell
D(E_F)   0.99 states/eV/atom
SG   Pm-3m (221)

=====

--- two ---
Computed, not measured: Ca3ZrP after structural relaxation at the PBE level of DFT.

Cell lengths 5.5532, 5.5532, 5.5532 Å; angles 90.00, 90.00, 90.00 degrees
Closest atoms and distances in Å follow each position.
Fractional coordinates of all 5 atoms:
Ca 0.0000 0.0000 0.5000  2 Zr 2.78
Ca 0.0000 0.5000 0.0000  2 Zr 2.78
Ca 0.5000 0.0000 0.0000  2 Zr 2.78
Zr 0.0000 0.0000 0.0000  6 Ca 2.78
P 0.5000 0.5000 0.5000  12 Ca 3.93

Total magnetic moment   1.608 Bohr magnetons per cell
D(E_F)   1.89 states/eV/atom
SG   Pm-3m (221)

=====

What should be chosen as the most stable of them? Choose one.

=====

--- one ---
Computed, not measured: Ca2Zr2P after structural relaxation at the PBE level of DFT.

Cell lengths 10.1864, 10.1864, 10.1864 Å; angles 158.42, 158.42, 30.71 degrees
Closest atoms and distances in Å follow each position.
Fractional coordinates of all 5 atoms:
Ca 0.0813 0.0813 0.0000  4 P 3.13, 1 Ca 3.19
Ca 0.9187 0.9187 0.0000  4 P 3.13, 1 Ca 3.19
Zr 0.2500 0.7500 0.5000  4 Zr 2.70
Zr 0.7500 0.2500 0.5000  4 Zr 2.70
P 0.5000 0.5000 0.0000  8 Ca 3.13

Total magnetic moment   0.000 Bohr magnetons per cell
D(E_F)   1.13 states/eV/atom
SG   I4/mmm (139)

=====

--- two ---
Computed, not measured: Ca2Zr2P after structural relaxation at the PBE level of DFT.

Cell lengths 7.2155, 7.2155, 5.3637 Å; angles 90.00, 90.00, 90.00 degrees
Closest atoms and distances in Å follow each position.
Fractional coordinates of all 10 atoms:
Ca 0.1612 0.3388 0.0000  2 P 2.71
Ca 0.3388 0.8388 0.0000  2 P 2.71
Ca 0.6612 0.1612 0.0000  2 P 2.71
Ca 0.8388 0.6612 0.0000  2 P 2.71
Zr 0.1340 0.6340 0.5000  1 Zr 2.73
Zr 0.3660 0.1340 0.5000  1 Zr 2.73
Zr 0.6340 0.8660 0.5000  1 Zr 2.73
Zr 0.8660 0.3660 0.5000  1 Zr 2.73
P 0.0000 0.0000 0.0000  4 Ca 2.71
P 0.5000 0.5000 0.0000  4 Ca 2.71

Total magnetic moment   0.000 Bohr magnetons per cell
D(E_F)   1.38 states/eV/atom
SG   P4/mbm (127)

=====

What should be chosen as the most stable of them? Choose one.

=====

--- one ---
Computed, not measured: CaPaPd2 after structural relaxation at the PBE level of DFT.

Cell lengths 7.5107, 7.5107, 7.5107 Å; angles 30.91, 30.91, 30.91 degrees
Closest atoms and distances in Å follow each position.
Fractional coordinates of all 4 atoms:
Ca 0.0000 0.0000 0.0000  6 Pd 3.04
Pa 0.5000 0.5000 0.5000  6 Pd 2.81
Pd 0.2412 0.2412 0.2412  3 Pa 2.81, 3 Ca 3.04
Pd 0.7588 0.7588 0.7588  3 Pa 2.81, 3 Ca 3.04

Total magnetic moment   0.000 Bohr magnetons per cell
D(E_F)   0.73 states/eV/atom
SG   R-3m (166)

=====

--- two ---
Computed, not measured: CaPaPd2 after structural relaxation at the PBE level of DFT.

Cell lengths 4.9723, 4.9723, 4.9723 Å; angles 60.00, 60.00, 60.00 degrees
Closest atoms and distances in Å follow each position.
Fractional coordinates of all 4 atoms:
Ca 0.0000 0.0000 0.0000  8 Pd 3.04
Pa 0.5000 0.5000 0.5000  8 Pd 3.04
Pd 0.2500 0.2500 0.2500  4 Pa 3.04, 4 Ca 3.04
Pd 0.7500 0.7500 0.7500  4 Pa 3.04, 4 Ca 3.04

Total magnetic moment   0.469 Bohr magnetons per cell
D(E_F)   1.44 states/eV/atom
SG   Fm-3m (225)

=====

--- three ---
Computed, not measured: CaPaPd2 after structural relaxation at the PBE level of DFT.

Cell lengths 3.5271, 3.5271, 7.3243 Å; angles 90.00, 90.00, 90.00 degrees
Closest atoms and distances in Å follow each position.
Fractional coordinates of all 4 atoms:
Ca 0.0000 0.0000 0.0000  8 Pd 3.25, 4 Ca 3.53
Pa 0.0000 0.0000 0.5000  8 Pd 2.95
Pd 0.5000 0.5000 0.2855  4 Pa 2.95, 1 Pd 3.14, 4 Ca 3.25
Pd 0.5000 0.5000 0.7145  4 Pa 2.95, 1 Pd 3.14, 4 Ca 3.25

Total magnetic moment   0.288 Bohr magnetons per cell
D(E_F)   1.26 states/eV/atom
SG   P4/mmm (123)

=====

What should be chosen as the most stable of them? Choose three.

=====

--- one ---
Computed, not measured: CaPr2Pa after structural relaxation at the PBE level of DFT.

Cell lengths 3.5001, 3.5001, 10.9636 Å; angles 90.00, 90.00, 90.00 degrees
Closest atoms and distances in Å follow each position.
Fractional coordinates of all 4 atoms:
Ca 0.0000 0.0000 0.0000  4 Ca 3.50
Pr 0.5000 0.5000 0.2799  4 Pa 3.46, 4 Pr 3.50
Pr 0.5000 0.5000 0.7201  4 Pa 3.46, 4 Pr 3.50
Pa 0.0000 0.0000 0.5000  8 Pr 3.46, 4 Pa 3.50

Total magnetic moment   0.000 Bohr magnetons per cell
D(E_F)   1.45 states/eV/atom
SG   P4/mmm (123)

=====

--- two ---
Computed, not measured: CaPr2Pa after structural relaxation at the PBE level of DFT.

Cell lengths 12.2900, 12.2900, 12.2900 Å; angles 16.71, 16.71, 16.71 degrees
Closest atoms and distances in Å follow each position.
Fractional coordinates of all 4 atoms:
Ca 0.0000 0.0000 0.0000  6 Ca 3.57, 6 Pr 3.88
Pr 0.2428 0.2428 0.2428  3 Pa 3.45, 6 Pr 3.57
Pr 0.7572 0.7572 0.7572  3 Pa 3.45, 6 Pr 3.57
Pa 0.5000 0.5000 0.5000  6 Pr 3.45, 6 Pa 3.57

Total magnetic moment   0.000 Bohr magnetons per cell
D(E_F)   1.65 states/eV/atom
SG   R-3m (166)

=====

What should be chosen as the most stable of them? Choose one.

=====

--- one ---
Computed, not measured: CaPaPtRh after structural relaxation at the PBE level of DFT.

Cell lengths 4.9057, 4.9057, 4.9057 Å; angles 60.00, 60.00, 60.00 degrees
Closest atoms and distances in Å follow each position.
Fractional coordinates of all 4 atoms:
Ca 0.0000 0.0000 0.0000  4 Rh 3.00, 4 Pt 3.00
Pa 0.5000 0.5000 0.5000  4 Rh 3.00, 4 Pt 3.00
Pt 0.2500 0.2500 0.2500  4 Pa 3.00, 4 Ca 3.00
Rh 0.7500 0.7500 0.7500  4 Ca 3.00, 4 Pa 3.00

Total magnetic moment   0.003 Bohr magnetons per cell
D(E_F)   1.28 states/eV/atom
SG   F-43m (216)

=====

--- two ---
Computed, not measured: CaPaPtRh after structural relaxation at the PBE level of DFT.

Cell lengths 4.2721, 5.7654, 5.7654 Å; angles 37.72, 90.00, 90.00 degrees
Closest atoms and distances in Å follow each position.
Fractional coordinates of all 4 atoms:
Ca 0.0000 0.0000 0.0000  3 Rh 2.88-3.18, 4 Pt 2.90
Pa 0.5000 0.2740 0.2740  4 Rh 2.86, 3 Pt 3.02-3.08
Pt 0.5000 0.5565 0.5565  4 Ca 2.90, 2 Rh 2.90, 3 Pa 3.02-3.08
Rh 0.0000 0.7365 0.7365  4 Pa 2.86, 3 Ca 2.88-3.18, 2 Pt 2.90

Total magnetic moment   0.000 Bohr magnetons per cell
D(E_F)   1.19 states/eV/atom
SG   Amm2 (38)

=====

What should be chosen as the most stable of them? Choose two.